{"formula": "HoUVO6", "functional": "PBE+U", "state": "optimized geometry", "total_energy_ev_per_atom": -8.690, "magnetic_moment_mub_per_fu": 2.0, "volume_a3_per_cell": 239, "sg": "P-31c (163)", "cell": [[5.6064, 0.0000, 0.0000], [-2.8032, 4.8553, 0.0000], [0.0000, 0.0000, 8.7652]], "species": ["O", "O", "O", "O", "O", "O", "O", "O", "O", "O", "O", "O", "V", "V", "Ho", "Ho", "U", "U"], "frac_coords": [[0.3127, 0.9768, 0.6263], [0.6642, 0.6874, 0.6263], [0.6873, 0.6642, 0.1263], [0.3358, 0.0232, 0.1263], [0.3127, 0.3358, 0.8737], [0.9768, 0.3126, 0.1263], [0.6873, 0.0232, 0.3737], [0.3358, 0.3126, 0.3737], [0.9768, 0.6642, 0.3737], [0.0232, 0.3358, 0.6263], [0.6642, 0.9768, 0.8737], [0.0232, 0.6874, 0.8737], [0.0000, 0.0000, 0.5000], [0.0000, 0.0000, 0.0000], [0.3333, 0.6667, 0.2500], [0.6667, 0.3333, 0.7500], [0.6667, 0.3333, 0.2500], [0.3333, 0.6667, 0.7500]]}